(1)
Below is a relaxed RbZn2CuF8 crystal, with properties calculated at the PBE level.

a = 5.134 Å, b = 5.134 Å, c = 7.300 Å
α = 103.57°, β = 103.57°, γ = 75.91°
Sites, in units of the cell vectors:
Rb1 0.000 0.000 0.000
Zn1 0.449 0.449 0.767
Zn2 0.551 0.551 0.233
Cu1 0.000 0.000 0.500
F1 0.193 0.746 0.307
F2 0.245 0.245 0.539
F3 0.254 0.807 0.693
F4 0.344 0.344 0.987
F5 0.656 0.656 0.013
F6 0.746 0.193 0.307
F7 0.755 0.755 0.461
F8 0.807 0.254 0.693

The value obtained for the volume is 14.8 Å³ per atom. As for the uncorrected formation energy: -197.4 kJ/mol of atoms.


(2)
Below is a relaxed Rb2ZnCu2F6 crystal, with properties calculated at the PBE level.

a = 6.587 Å, b = 6.587 Å, c = 6.587 Å
α = 56.43°, β = 56.43°, γ = 56.43°
Sites, in units of the cell vectors:
Rb1 0.224 0.224 0.224
Rb2 0.776 0.776 0.776
Zn1 0.000 0.000 0.000
Cu1 0.424 0.424 0.424
Cu2 0.576 0.576 0.576
F1 0.225 0.772 0.772
F2 0.228 0.228 0.775
F3 0.228 0.775 0.228
F4 0.772 0.225 0.772
F5 0.772 0.772 0.225
F6 0.775 0.228 0.228

The value obtained for the volume is 16.9 Å³ per atom. As for the uncorrected formation energy: -189.8 kJ/mol of atoms.